[1]
A plane-wave DFT calculation with PBE was carried out for a geometry-optimized Li2Mg2AlAg5 structure.

Output
For the density of states at the Fermi level, the calculation gives 7.14 states/eV per cell. The calculation puts the magnetization at 0.00 μB per formula unit. Its total DFT energy (no corrections) is -2.613 eV per atom.

Lattice parameters (Å, degrees): 9.7132 9.7132 3.7004 90.00 90.00 90.00
Space group P4/mbm (No. 127)
Symmetry-distinct sites (fractional):
Li 0.1241 0.3759 0.0000
Mg 0.1710 0.6710 0.0000
Al 0.0000 0.0000 0.0000
Ag 0.0000 0.5000 0.5000
Ag 0.0815 0.1951 0.5000


[2]
A plane-wave DFT calculation with PBE was carried out for a geometry-optimized BeIn2Cl structure.

Output
For the density of states at the Fermi level, the calculation gives 16.30 states/eV per cell. The calculation puts the magnetization at 0.00 μB per formula unit. The value obtained for the distance to the lowest polymorph of the same formula is 0.5566 eV/atom. Its total DFT energy (no corrections) is -2.330 eV per atom.

Lattice parameters (Å, degrees): 7.2333 7.2333 7.2333 90.00 90.00 90.00
Space group F-43m (No. 216)
Symmetry-distinct sites (fractional):
Be 0.0000 0.0000 0.0000
In 0.0000 0.0000 0.5000
In 0.2500 0.2500 0.2500
Cl 0.2500 0.2500 0.7500


[3]
A plane-wave DFT calculation with PBE was carried out for a geometry-optimized Fe7Ge3 structure.

Output
For the density of states at the Fermi level, the calculation gives 19.09 states/eV per cell. The calculation puts the magnetization at 12.92 μB per formula unit. Its total DFT energy (no corrections) is -7.368 eV per atom.

Lattice parameters (Å, degrees): 12.6118 4.0018 5.0051 90.00 108.52 90.00
Space group C2/m (No. 12)
Symmetry-distinct sites (fractional):
Fe 0.0000 0.0000 0.0000
Fe 0.0993 0.5000 0.8948
Fe 0.1049 0.5000 0.3931
Fe 0.1965 0.0000 0.7641
Ge 0.0000 0.0000 0.5000
Ge 0.1996 0.0000 0.2568


[4]
A plane-wave DFT calculation with PBE was carried out for a geometry-optimized Y2SiHI structure.

Output
For the density of states at the Fermi level, the calculation gives 3.33 states/eV per cell. The calculation puts the magnetization at 0.00 μB per formula unit. Its total DFT energy (no corrections) is -4.350 eV per atom.

Lattice parameters (Å, degrees): 5.6670 5.6670 3.9098 90.00 90.00 90.00
Space group P4/mmm (No. 123)
Symmetry-distinct sites (fractional):
Y 0.0000 0.5000 0.0000
Si 0.0000 0.0000 0.5000
H 0.5000 0.5000 0.5000
I 0.5000 0.5000 0.0000


[5]
A plane-wave DFT calculation with PBE was carried out for a geometry-optimized Cs2KGeP2 structure.

Output
For the density of states at the Fermi level, the calculation gives 14.16 states/eV per cell. The calculation puts the magnetization at 0.00 μB per formula unit. Its total DFT energy (no corrections) is -3.280 eV per atom.

Lattice parameters (Å, degrees): 7.8824 16.0484 6.7251 90.00 90.00 90.00
Space group Ibam (No. 72)
Symmetry-distinct sites (fractional):
Cs 0.2112 0.1789 0.0000
K 0.0000 0.5000 0.2500
Ge 0.0000 0.0000 0.2500
P 0.1784 0.0785 0.5000


[6]
A plane-wave DFT calculation with PBE was carried out for a geometry-optimized HoLu2Pu structure.

Output
For the density of states at the Fermi level, the calculation gives 10.22 states/eV per cell. The calculation puts the magnetization at 6.38 μB per formula unit. The value obtained for the distance to the lowest polymorph of the same formula is 0.0000 eV/atom. Its total DFT energy (no corrections) is -6.898 eV per atom.

Lattice parameters (Å, degrees): 3.4474 3.4474 9.8180 90.00 90.00 90.00
Space group P4/mmm (No. 123)
Symmetry-distinct sites (fractional):
Ho 0.0000 0.0000 0.0000
Lu 0.5000 0.5000 0.2548
Pu 0.0000 0.0000 0.5000


[7]
A plane-wave DFT calculation with PBE was carried out for a geometry-optimized LiZnPd4 structure.

Output
For the density of states at the Fermi level, the calculation gives 1.94 states/eV per cell. The calculation puts the magnetization at 0.00 μB per formula unit. The value obtained for the distance to the lowest polymorph of the same formula is 0.0000 eV/atom. Its total DFT energy (no corrections) is -4.348 eV per atom.

Lattice parameters (Å, degrees): 2.8807 2.8790 10.4033 90.00 90.08 90.00
Space group P2/m (No. 10)
Symmetry-distinct sites (fractional):
Li 0.0000 0.0000 0.0000
Zn 0.5000 0.5000 0.5000
Pd 0.0000 0.0000 0.3401
Pd 0.5003 0.5000 0.1524


[8]
A plane-wave DFT calculation with PBE was carried out for a geometry-optimized TaBePt2 structure.

Output
For the density of states at the Fermi level, the calculation gives 6.56 states/eV per cell. The calculation puts the magnetization at 0.00 μB per formula unit. Its total DFT energy (no corrections) is -7.429 eV per atom.

Lattice parameters (Å, degrees): 3.8944 3.8944 7.7386 90.00 90.00 90.00
Space group I4/mmm (No. 139)
Symmetry-distinct sites (fractional):
Ta 0.0000 0.0000 0.0000
Be 0.0000 0.0000 0.5000
Pt 0.0000 0.5000 0.2500


[9]
A plane-wave DFT calculation with PBE was carried out for a geometry-optimized CeNd15Sm4 structure.

Output
For the density of states at the Fermi level, the calculation gives 33.84 states/eV per cell. The calculation puts the magnetization at 1.28 μB per formula unit. Its total DFT energy (no corrections) is -4.788 eV per atom.

Lattice parameters (Å, degrees): 5.1897 5.1897 25.9009 90.00 90.00 90.00
Space group P4/mmm (No. 123)
Symmetry-distinct sites (fractional):
Ce 0.0000 0.0000 0.0000
Nd 0.0000 0.5000 0.0986
Nd 0.0000 0.5000 0.2997
Nd 0.0000 0.5000 0.5000
Nd 0.5000 0.5000 0.0000
Nd 0.5000 0.5000 0.2005
Nd 0.5000 0.5000 0.4002
Sm 0.0000 0.0000 0.1995
Sm 0.0000 0.0000 0.4000


[10]
A plane-wave DFT calculation with PBE was carried out for a geometry-optimized NaHf2HgSe structure.

Output
For the density of states at the Fermi level, the calculation gives 5.23 states/eV per cell. The calculation puts the magnetization at 0.00 μB per formula unit. Its total DFT energy (no corrections) is -3.958 eV per atom.

Lattice parameters (Å, degrees): 5.2848 5.2848 5.6471 90.00 90.00 90.00
Space group P4/mmm (No. 123)
Symmetry-distinct sites (fractional):
Na 0.0000 0.0000 0.0000
Hf 0.0000 0.5000 0.5000
Hg 0.5000 0.5000 0.5000
Se 0.5000 0.5000 0.0000


[11]
A plane-wave DFT calculation with PBE was carried out for a geometry-optimized VFeRu structure.

Output
For the density of states at the Fermi level, the calculation gives 5.00 states/eV per cell. The calculation puts the magnetization at 2.59 μB per formula unit. The value obtained for the distance to the lowest polymorph of the same formula is 0.0000 eV/atom. Its total DFT energy (no corrections) is -9.098 eV per atom.

Lattice parameters (Å, degrees): 4.2181 4.2181 5.0798 90.00 90.00 120.00
Space group P-3m1 (No. 164)
Symmetry-distinct sites (fractional):
V 0.3333 0.6667 0.1698
Fe 0.0000 0.0000 0.0000
Fe 0.0000 0.0000 0.5000
Ru 0.3333 0.6667 0.6786


[12]
A plane-wave DFT calculation with PBE was carried out for a geometry-optimized CaPPd2 structure.

Output
For the density of states at the Fermi level, the calculation gives 16.19 states/eV per cell. The calculation puts the magnetization at 0.00 μB per formula unit. Its total DFT energy (no corrections) is -5.246 eV per atom.

Lattice parameters (Å, degrees): 4.2830 15.6734 8.9051 90.00 90.00 90.00
Space group Cmcm (No. 63)
Symmetry-distinct sites (fractional):
Ca 0.0000 0.0000 0.0000
Ca 0.0000 0.2084 0.2500
P 0.0000 0.3601 0.5031
Pd 0.0000 0.2022 0.5644
Pd 0.0000 0.4057 0.2500
Pd 0.0000 0.4191 0.7500